VASP calculation (PBE) on a relaxed LiCrI4 crystal.

Cell lengths 7.1171, 7.4737, 9.8017 Å; angles 104.04, 102.56, 112.45 degrees
Last column: magnetic moment on the atom in μB.
Fractional coordinates of all 12 atoms:
I1 0.5653 0.2729 0.1020  -0.08
I2 0.0366 0.8291 0.1020  -0.08
I3 0.1489 0.4023 0.3335  -0.04
I4 0.4347 0.7271 0.8980  -0.08
I5 0.9634 0.1709 0.8980  -0.08
I6 0.3153 0.0688 0.6665  -0.04
I7 0.6847 0.9312 0.3335  -0.04
I8 0.8511 0.5977 0.6665  -0.04
Cr1 0.8105 0.0605 0.1210  3.01
Cr2 0.1895 0.9395 0.8790  3.01
Li1 0.6772 0.4272 0.8543  0.01
Li2 0.3228 0.5728 0.1457  0.01

Summary:
Total magnetic moment, μB per formula unit: 2.98
Energy relative to the elements, uncorrected, eV per atom: -0.6097
Energy above the lowest structure with this stoichiometry, meV per atom: 30


VASP calculation (PBE) on a relaxed CaNi2Cl crystal.

Cell lengths 5.0096, 5.0096, 5.0096 Å; angles 137.76, 116.55, 79.20 degrees
Last column: magnetic moment on the atom in μB.
Fractional coordinates of all 4 atoms:
Ca1 0.4912 0.4912 0.0000  0.00
Cl1 0.1938 0.6938 0.5000  0.04
Ni1 0.0011 0.0011 0.0000  0.49
Ni2 0.8138 0.3138 0.5000  0.39

Summary:
Total magnetic moment, μB per formula unit: 0.94
Energy relative to the elements, uncorrected, eV per atom: -0.1032
DOS(E_F), states/eV/f.u.: 1.7
Energy above the lowest structure with this stoichiometry, meV per atom: 300


VASP calculation (PBE) on a relaxed BaBeSe2 crystal.

Cell lengths 6.4810, 6.4810, 6.4810 Å; angles 141.10, 141.10, 56.18 degrees
Fractional coordinates of all 4 atoms:
Se1 0.2500 0.7500 0.5000
Se2 0.0000 0.0000 0.0000
Be1 0.7500 0.2500 0.5000
Ba1 0.5000 0.5000 0.0000

Summary:
Total magnetic moment, μB per formula unit: 0.00
Energy relative to the elements, uncorrected, eV per atom: -0.2484
DOS(E_F), states/eV/f.u.: 1.7